The following is a DFT calculation (PBE-GGA) of a relaxed structure of Pm2MgIn9.

CIF file:
```
data_Pm2MgIn9
_chemical_formula_sum 'Pm2 Mg1 In9'
_symmetry_space_group_name_H-M 'P 4/m m m'
_symmetry_Int_Tables_number 123
_symmetry_space_group_name_Hall '-P 4 2'
_cell_length_a 4.6959
_cell_length_b 4.6959
_cell_length_c 13.9299
_cell_angle_alpha 90.00
_cell_angle_beta 90.00
_cell_angle_gamma 90.00
loop_
_atom_site_label
_atom_site_type_symbol
_atom_site_fract_x
_atom_site_fract_y
_atom_site_fract_z
Pm1 Pm 0.0000 0.0000 0.1678
Mg1 Mg 0.0000 0.0000 0.5000
In1 In 0.0000 0.5000 0.0000
In2 In 0.0000 0.5000 0.3418
In3 In 0.5000 0.5000 0.1668
In4 In 0.5000 0.5000 0.5000
```

Computed properties:
Magnetic moment, Bohr magnetons per cell: 0.0
Fermi-level density of states, states/eV per atom: 0.352
Formation energy from the elements, meV per atom: -309
Electronic total energy, eV/atom: -3.29